[1]
4
Lattice="-1.591 5.135 -0.481 -0.969 -1.973 4.929 2.495 0.841 0.818" Properties=species:S:1:pos:R:3 comment="Cd2MoAu, relaxed, DFT GGA-PBE" magnetic_moment_mub_per_cell=0.00 dft_energy_ev_per_cell=-14.9 e_form_kj_per_mol_fu=101 volume_a3_per_cell=74 pbc="T T T"
Cd -1.280 1.581 2.224
Mo 0.452 2.988 0.168
Cd 0.000 0.000 0.000
Au 0.763 -0.566 2.874

***

[2]
4
Lattice="-2.264 -2.016 3.573 -0.917 -4.594 -0.100 2.283 -2.908 2.879" Properties=species:S:1:pos:R:3 comment="CdMoAu2, relaxed, DFT GGA-PBE" magnetic_moment_mub_per_cell=2.02 dft_energy_ev_per_cell=-16.7 e_form_kj_per_mol_fu=155 volume_a3_per_cell=73 pbc="T T T"
Au -0.224 -2.380 1.588
Mo -0.673 -7.139 4.764
Au 0.000 0.000 0.000
Cd -0.449 -4.759 3.176